! Ta2NiGe PBE relaxed; values from VASP
&SYSTEM
  ibrav = 0, nat = 8, ntyp = 3
/
ATOMIC_SPECIES
Ta 180.95 Ta.upf
Ni 58.69 Ni.upf
Ge 72.64 Ge.upf
CELL_PARAMETERS angstrom
5.061 0.000 0.000
-0.078 5.113 0.000
-1.250 -1.339 4.791
ATOMIC_POSITIONS angstrom
Ta 0.604 1.223 0.541
Ta 0.547 3.716 2.471
Ta 3.187 0.058 2.320
Ta 3.130 2.551 4.250
Ni 1.802 4.063 0.198
Ni 1.932 -0.289 4.593
Ge 0.545 1.142 3.216
Ge 3.189 2.632 1.575
! - E_form (eV per formula unit) = -1.3
! - theoretical density (Mg/m³) = 13.21
! - space-group type = P-1
! - magnetic moment (μB per atom) = 0.000